Below is CoW after structural relaxation, with properties calculated at the PBE level.

a = 6.504 Å, b = 6.504 Å, c = 6.504 Å
α = 90.00°, β = 90.00°, γ = 90.00°
Positions (direct):
W: 0.000 0.750 0.500
W: 0.000 0.250 0.500
W: 0.500 0.000 0.750
W: 0.500 0.000 0.250
W: 0.250 0.500 0.000
W: 0.750 0.500 0.000
Co: 0.250 0.000 0.500
Co: 0.000 0.500 0.750
Co: 0.750 0.000 0.500
Co: 0.000 0.500 0.250
Co: 0.500 0.250 0.000
Co: 0.500 0.750 0.000

Properties
Energy relative to the elements, meV per atom: 1712.2
Space-group type: Pm-3n, No. 223
V, Å³ per atom: 22.93
D(E_F), states/eV per atom: 0.784